DFT (PBE) results for YCd4Au2 after structural relaxation.

The structure belongs to space group Cmmm (No. 65); the cell edges are 4.585, 18.553 and 3.657 Å and the angles 90.00°, 90.00° and 90.00°. The inequivalent atoms are Y at (0.000, 0.000, 0.000), Cd at (0.000, 0.163, 0.500), Cd at (0.000, 0.304, 0.000) and Au at (0.000, 0.427, 0.500).

The formation energy from the elements comes out at -0.339 eV/atom. The density of states at the Fermi level comes out at 5.98 states/eV/cell. Its crystal system is orthorhombic. The value obtained for the magnetization is 0.0 μB/f.u.

***

DFT (PBE) results for CdGa2Br8 after structural relaxation.

The structure belongs to space group C2/m (No. 12); the cell edges are 11.877, 10.954 and 6.518 Å and the angles 90.00°, 93.44° and 90.00°. The inequivalent atoms are Cd at (0.000, 0.000, 0.000), Ga at (0.214, 0.000, 0.632), Br at (0.100, 0.500, 0.249), Br at (0.108, 0.169, 0.759) and Br at (0.207, 0.000, 0.266).

The density of states at the Fermi level comes out at 0.00 states/eV/cell. Its crystal system is monoclinic. The value obtained for the magnetization is 0.0 μB/f.u. As for the formation energy from raw total energies: -829 meV/atom.

***

DFT (PBE) results for CePrDy3Ho after structural relaxation.

The structure belongs to space group Cmcm (No. 63); the cell edges are 5.890, 11.194 and 11.773 Å and the angles 90.00°, 90.00° and 90.00°. The inequivalent atoms are Ce at (0.000, 0.001, 0.250), Pr at (0.000, 0.500, 0.000), Dy at (0.000, 0.170, 0.501), Dy at (0.000, 0.327, 0.250) and Ho at (0.000, 0.328, 0.750).

The formation energy from the elements comes out at 0.153 eV/atom. The density of states at the Fermi level comes out at 61.47 states/eV/cell. Its crystal system is orthorhombic. The value obtained for the magnetization is 1.3 μB/f.u.